1.
This record from the Alexandria database describes KHoF4 after structural relaxation. The functional is GGA-PBE.

abc: 9.191 9.191 6.215
angles: 90.00 90.00 152.50
Fractional coordinates of all 12 atoms:
K (0.196, 0.804, 0.500)
K (0.804, 0.196, 0.000)
Ho (0.413, 0.587, 0.503)
Ho (0.587, 0.413, 0.003)
F (0.087, 0.913, 0.005)
F (0.325, 0.675, 0.739)
F (0.327, 0.673, 0.261)
F (0.498, 0.502, 0.759)
F (0.502, 0.498, 0.259)
F (0.673, 0.327, 0.761)
F (0.675, 0.325, 0.239)
F (0.913, 0.087, 0.505)

Properties
Fermi-level density of states in states/eV/cell: 0.00
DFT total energy in eV per atom: -5.92

***

2.
This record from the Alexandria database describes KHoF4 after structural relaxation. The functional is GGA-PBE.

abc: 14.158 14.158 10.256
angles: 90.00 90.00 120.00
Fractional coordinates of all 108 atoms:
K (0.103, 0.386, 0.002)
K (0.123, 0.723, 0.364)
K (0.271, 0.230, 0.029)
K (0.275, 0.065, 0.333)
K (0.277, 0.399, 0.698)
K (0.283, 0.897, 0.668)
K (0.446, 0.067, 0.997)
K (0.447, 0.395, 0.359)
K (0.601, 0.877, 0.031)
K (0.605, 0.053, 0.693)
K (0.614, 0.717, 0.335)
K (0.621, 0.554, 0.664)
K (0.770, 0.041, 0.362)
K (0.790, 0.725, 0.000)
K (0.933, 0.379, 0.331)
K (0.935, 0.210, 0.667)
K (0.947, 0.553, 0.026)
K (0.959, 0.729, 0.696)
Ho (0.094, 0.541, 0.674)
Ho (0.117, 0.065, 0.692)
Ho (0.119, 0.241, 0.355)
Ho (0.122, 0.881, 0.022)
Ho (0.271, 0.550, 0.335)
Ho (0.279, 0.729, 0.002)
Ho (0.426, 0.223, 0.683)
Ho (0.447, 0.906, 0.341)
Ho (0.450, 0.721, 0.668)
Ho (0.459, 0.553, 0.007)
Ho (0.607, 0.392, 0.021)
Ho (0.608, 0.216, 0.355)
Ho (0.759, 0.878, 0.689)
Ho (0.777, 0.203, 0.016)
Ho (0.784, 0.393, 0.688)
Ho (0.797, 0.574, 0.350)
Ho (0.935, 0.052, 0.026)
Ho (0.948, 0.883, 0.359)
F (0.002, 0.941, 0.024)
F (0.051, 0.929, 0.544)
F (0.057, 0.186, 0.147)
F (0.059, 0.062, 0.357)
F (0.071, 0.122, 0.877)
F (0.074, 0.875, 0.237)
F (0.092, 0.396, 0.747)
F (0.121, 0.700, 0.621)
F (0.125, 0.199, 0.570)
F (0.129, 0.943, 0.813)
F (0.133, 0.391, 0.256)
F (0.135, 0.536, 0.459)
F (0.147, 0.603, 0.882)
F (0.148, 0.747, 0.108)
F (0.214, 0.591, 0.148)
F (0.253, 0.401, 0.441)
F (0.254, 0.039, 0.076)
F (0.257, 0.867, 0.922)
F (0.262, 0.239, 0.283)
F (0.269, 0.088, 0.591)
F (0.273, 0.204, 0.777)
F (0.273, 0.599, 0.673)
F (0.300, 0.422, 0.955)
F (0.304, 0.908, 0.414)
F (0.326, 0.727, 0.340)
F (0.377, 0.786, 0.815)
F (0.397, 0.544, 0.216)
F (0.401, 0.674, 0.006)
F (0.401, 0.865, 0.126)
F (0.409, 0.623, 0.482)
F (0.435, 0.372, 0.614)
F (0.445, 0.087, 0.740)
F (0.456, 0.853, 0.549)
F (0.464, 0.599, 0.793)
F (0.471, 0.271, 0.898)
F (0.473, 0.417, 0.104)
F (0.474, 0.067, 0.251)
F (0.477, 0.212, 0.475)
F (0.546, 0.288, 0.204)
F (0.578, 0.879, 0.288)
F (0.583, 0.057, 0.437)
F (0.593, 0.526, 0.918)
F (0.599, 0.852, 0.775)
F (0.604, 0.696, 0.080)
F (0.607, 0.335, 0.683)
F (0.609, 0.743, 0.589)
F (0.628, 0.063, 0.948)
F (0.642, 0.555, 0.407)
F (0.665, 0.272, 0.017)
F (0.712, 0.258, 0.538)
F (0.728, 0.393, 0.350)
F (0.729, 0.200, 0.231)
F (0.735, 0.523, 0.141)
F (0.742, 0.454, 0.871)
F (0.761, 0.023, 0.616)
F (0.785, 0.746, 0.743)
F (0.788, 0.265, 0.808)
F (0.796, 0.069, 0.110)
F (0.800, 0.529, 0.565)
F (0.801, 0.926, 0.904)
F (0.814, 0.871, 0.480)
F (0.819, 0.731, 0.257)
F (0.878, 0.949, 0.210)
F (0.912, 0.181, 0.924)
F (0.913, 0.358, 0.074)
F (0.931, 0.727, 0.443)
F (0.933, 0.407, 0.585)
F (0.937, 0.565, 0.281)
F (0.938, 0.998, 0.691)
F (0.943, 0.527, 0.771)
F (0.961, 0.215, 0.409)
F (0.977, 0.738, 0.950)

Properties
Fermi-level density of states in states/eV/cell: 0.00
DFT total energy in eV per atom: -5.95

***

3.
This record from the Alexandria database describes K3HoF8 after structural relaxation. The functional is GGA-PBE.

abc: 7.426 7.426 7.426
angles: 132.18 132.18 69.95
Fractional coordinates of all 12 atoms:
K (0.000, 0.000, 0.000)
K (0.250, 0.750, 0.500)
K (0.750, 0.250, 0.500)
Ho (0.500, 0.500, 0.000)
F (0.174, 0.174, 0.567)
F (0.174, 0.607, 0.000)
F (0.393, 0.393, 0.567)
F (0.393, 0.826, 0.000)
F (0.607, 0.174, 0.000)
F (0.607, 0.607, 0.433)
F (0.826, 0.393, 0.000)
F (0.826, 0.826, 0.433)

Properties
Fermi-level density of states in states/eV/cell: 13.25
DFT total energy in eV per atom: -4.67

***

4.
This record from the Alexandria database describes K3HoF6 after structural relaxation. The functional is GGA-PBE.

abc: 6.387 6.626 11.051
angles: 90.00 124.36 90.00
Fractional coordinates of all 20 atoms:
K (0.000, 0.000, 0.000)
K (0.000, 0.500, 0.500)
K (0.225, 0.052, 0.742)
K (0.225, 0.448, 0.242)
K (0.775, 0.552, 0.758)
K (0.775, 0.948, 0.258)
Ho (0.500, 0.000, 0.500)
Ho (0.500, 0.500, 0.000)
F (0.174, 0.178, 0.451)
F (0.174, 0.322, 0.951)
F (0.255, 0.733, 0.425)
F (0.255, 0.767, 0.925)
F (0.395, 0.062, 0.278)
F (0.395, 0.438, 0.778)
F (0.605, 0.562, 0.222)
F (0.605, 0.938, 0.722)
F (0.745, 0.233, 0.075)
F (0.745, 0.267, 0.575)
F (0.826, 0.678, 0.049)
F (0.826, 0.822, 0.549)

Properties
Fermi-level density of states in states/eV/cell: 0.00
DFT total energy in eV per atom: -5.27